An optimized crystal structure of LaSm2AuN6. Source: OQMD via LeMat-Bulk, functional PBE.

Properties
space group = P-1, No. 2
volume = 14.9 A^3/atom
electronic total energy = -0.533 Ry per atom

a = 3.8955 Å, b = 5.9654 Å, c = 6.6477 Å
α = 98.53°, β = 98.61°, γ = 98.12°
Last column: nearest neighbours and their distance in Å.
Fractional coordinates of all 10 atoms:
La: 0.0000 0.0000 0.0000  8 N 2.50-2.65
Sm: 0.2785 0.5064 0.7095  7 N 2.36-2.56
Sm: 0.7215 0.4936 0.2905  7 N 2.36-2.56
Au: 0.5000 0.0000 0.5000  4 N 2.28-2.30
N: 0.2200 0.2695 0.3642  1 Au 2.28, 3 Sm 2.36-2.54
N: 0.2667 0.7315 0.2073  1 N 1.30
N: 0.4508 0.7373 0.0604  1 N 1.30
N: 0.5492 0.2627 0.9396  1 N 1.30
N: 0.7333 0.2685 0.7927  1 N 1.30
N: 0.7800 0.7305 0.6358  1 Au 2.28, 3 Sm 2.36-2.54